No. 1
9
Lattice="8.409 0.000 0.000 -4.205 7.283 0.000 0.000 0.000 3.933" Properties=species:S:1:pos:R:3 comment="Er6AgTe2, relaxed, DFT PBE-GGA" e_tot_ev_per_atom=-4.673 pbc="T T T"
Er -1.691 2.928 0.000
Er -3.130 5.422 1.966
Er 1.074 1.861 1.966
Er 3.382 0.000 0.000
Er 2.514 4.354 0.000
Er 6.261 0.000 1.966
Ag 0.000 0.000 0.000
Te 0.000 4.855 1.966
Te 4.205 2.428 1.966

No. 2
6
Lattice="3.046 0.000 0.000 -1.523 2.638 0.000 0.000 0.000 7.416" Properties=species:S:1:pos:R:3 comment="TaGaB4, relaxed, DFT PBE-GGA" de_polymorph_mev_per_atom=0 e_tot_ev_per_atom=-7.129 pbc="T T T"
Ta 0.000 0.000 0.000
Ga 0.000 0.000 3.708
B 0.000 1.759 1.694
B 0.000 1.759 5.722
B 1.523 0.879 1.694
B 1.523 0.879 5.722

No. 3
2
Lattice="1.337 -2.493 0.000 1.337 2.493 0.000 0.000 0.000 4.556" Properties=species:S:1:pos:R:3 comment="Pd, relaxed, DFT PBE-GGA" delta_e_f_ev_per_atom=0.04 de_polymorph_mev_per_atom=42 e_tot_ev_per_atom=-5.133 pbc="T T T"
Pd 1.337 1.732 3.417
Pd 1.337 -1.732 1.139

No. 4
8
Lattice="3.620 0.000 0.000 0.000 6.657 3.848 0.000 -6.657 3.848" Properties=species:S:1:pos:R:3 comment="Dy2TmIn3Pt2, relaxed, DFT PBE-GGA" e_tot_ev_per_atom=-5.138 pbc="T T T"
Dy 0.000 -3.855 3.848
Dy 0.000 3.855 3.848
Tm 0.000 0.000 4.864
In 1.810 -1.527 2.512
In 1.810 1.527 2.512
In 1.810 0.000 7.531
Pt 1.810 -2.193 5.460
Pt 1.810 2.193 5.460

No. 5
8
Lattice="3.355 0.000 0.000 -1.677 2.905 0.000 0.000 0.000 12.524" Properties=species:S:1:pos:R:3 comment="GdScAg2O4, relaxed, DFT PBE-GGA" e_tot_ev_per_atom=-6.763 pbc="T T T"
Gd 0.000 0.000 0.000
Sc 0.000 0.000 6.262
Ag 0.000 1.937 9.297
Ag 1.677 0.968 3.227
O 0.000 1.937 7.224
O 0.000 1.937 11.370
O 1.677 0.968 1.155
O 1.677 0.968 5.301

No. 6
3
Lattice="0.000 3.276 3.276 3.276 0.000 3.276 3.276 3.276 0.000" Properties=species:S:1:pos:R:3 comment="TbTaPd, relaxed, DFT PBE-GGA" delta_e_f_ev_per_atom=0.28 e_tot_ev_per_atom=-6.942 pbc="T T T"
Tb 0.000 0.000 0.000
Ta 3.276 3.276 3.276
Pd 4.914 4.914 4.914

No. 7
2
Lattice="0.000 3.585 3.585 3.585 0.000 3.585 3.585 3.585 0.000" Properties=species:S:1:pos:R:3 comment="PrI, relaxed, DFT PBE-GGA" e_tot_ev_per_atom=-3.473 pbc="T T T"
Pr 0.000 0.000 0.000
I 1.792 1.792 1.792

No. 8
12
Lattice="9.104 0.000 0.000 0.000 4.005 0.000 -3.129 0.000 9.114" Properties=species:S:1:pos:R:3 comment="KLuFeSe3, relaxed, DFT PBE-GGA" de_polymorph_mev_per_atom=0 e_tot_ev_per_atom=-5.275 pbc="T T T"
K 1.165 1.001 2.169
K 4.810 3.004 6.945
Lu 0.348 3.004 7.802
Lu 5.627 1.001 1.313
Fe -1.191 1.001 5.362
Fe 7.165 3.004 3.752
Se -1.647 1.001 7.745
Se 0.249 3.004 4.897
Se 3.691 3.004 1.451
Se 2.284 1.001 7.664
Se 5.726 1.001 4.218
Se 7.622 3.004 1.369